[1]
Entry from Alexandria via LeMat-Bulk: an optimized crystal structure of RbDyVBr6 (PBE). Values from VASP.

Cell and atoms, written as Quantum ESPRESSO input:
```
&SYSTEM
  ibrav = 0, nat = 18, ntyp = 4
/
ATOMIC_SPECIES
Rb 85.47 Rb.upf
Dy 162.50 Dy.upf
V 50.94 V.upf
Br 79.90 Br.upf
CELL_PARAMETERS angstrom
7.0455 0.0000 0.0000
-3.5228 6.1016 0.0000
0.0000 0.0000 15.7121
ATOMIC_POSITIONS angstrom
Rb 0.0000 0.0000 0.0000
Rb 0.0000 0.0000 7.8561
Dy 0.0000 4.0677 3.9280
Dy 3.5228 2.0339 11.7841
V 0.0000 4.0677 11.7841
V 3.5228 2.0339 3.9280
Br -1.2016 2.2865 10.2149
Br -2.1434 3.9177 13.3534
Br 1.2016 2.2865 13.3534
Br -0.9418 5.9990 10.2149
Br 2.5810 0.1026 2.3588
Br 1.3794 2.1839 5.4973
Br 2.1434 3.9177 10.2149
Br 0.9418 5.9990 13.3534
Br 4.4645 0.1026 5.4973
Br 2.3211 3.8151 2.3588
Br 5.6662 2.1839 2.3588
Br 4.7244 3.8151 5.4973
```

Summary:
The calculation puts the energy at -76.51 eV/cell. The total moment is 6.0 Bohr magnetons per cell. Its space group is P-31c, No. 163.

---

[2]
Entry from Alexandria via LeMat-Bulk: an optimized crystal structure of BaLa4Y (PBE). Values from VASP.

Cell and atoms, written as Quantum ESPRESSO input:
```
&SYSTEM
  ibrav = 0, nat = 6, ntyp = 3
/
ATOMIC_SPECIES
Ba 137.33 Ba.upf
La 138.91 La.upf
Y 88.91 Y.upf
CELL_PARAMETERS angstrom
0.0000 4.9329 4.9329
4.9329 0.0000 4.9329
4.9329 4.9329 0.0000
ATOMIC_POSITIONS angstrom
Ba 0.0000 0.0000 0.0000
La 6.0964 3.7695 3.7695
La 3.7695 6.0964 3.7695
La 3.7695 3.7695 6.0964
La 6.0964 6.0964 6.0964
Y 2.4665 2.4665 2.4665
```

Summary:
The calculation puts the energy at -26.72 eV/cell. The total moment is 0.0 Bohr magnetons per cell. Its space group is F-43m, No. 216.

---

[3]
Entry from Alexandria via LeMat-Bulk: an optimized crystal structure of NaAg3W (PBE). Values from VASP.

Cell and atoms, written as Quantum ESPRESSO input:
```
&SYSTEM
  ibrav = 0, nat = 5, ntyp = 3
/
ATOMIC_SPECIES
Na 22.99 Na.upf
Ag 107.87 Ag.upf
W 183.84 W.upf
CELL_PARAMETERS angstrom
5.1662 0.0000 0.0000
0.0000 5.1662 0.0000
0.0000 0.0000 5.1662
ATOMIC_POSITIONS angstrom
Na 0.0000 0.0000 0.0000
Ag 0.0000 2.5831 2.5831
Ag 2.5831 0.0000 2.5831
Ag 2.5831 2.5831 0.0000
W 2.5831 2.5831 2.5831
```

Summary:
Its energy relative to the lowest polymorph listed for this composition is 0 meV/atom. The calculation puts the energy at -16.39 eV/cell. The total moment is 0.0 Bohr magnetons per cell. Its space group is Pm-3m, No. 221.

---

[4]
Entry from Alexandria via LeMat-Bulk: an optimized crystal structure of Ba5TaN4F2 (PBE). Values from VASP.

Cell and atoms, written as Quantum ESPRESSO input:
```
&SYSTEM
  ibrav = 0, nat = 12, ntyp = 4
/
ATOMIC_SPECIES
Ba 137.33 Ba.upf
Ta 180.95 Ta.upf
N 14.01 N.upf
F 19.00 F.upf
CELL_PARAMETERS angstrom
7.9578 0.0000 0.0000
0.0000 5.3143 3.2190
0.0000 -5.3143 3.2190
ATOMIC_POSITIONS angstrom
Ba 0.0000 0.0000 0.0000
Ba 2.1925 -1.8727 3.1202
Ba 2.1925 1.8727 3.1202
Ba 5.7653 -1.8727 3.1202
Ba 5.7653 1.8727 3.1202
Ta 3.9789 0.0000 6.4076
N 2.3840 0.0000 1.1417
N 3.9789 -1.6312 5.2613
N 3.9789 1.6312 5.2613
N 5.5739 0.0000 1.1417
F 0.0000 -2.8889 1.7738
F 0.0000 2.8889 1.7738
```

Summary:
The calculation puts the energy at -76.83 eV/cell. The total moment is 0.9 Bohr magnetons per cell. Its space group is Amm2, No. 38.

---

[5]
Entry from Alexandria via LeMat-Bulk: an optimized crystal structure of LaPmTePt (PBE). Values from VASP.

Cell and atoms, written as Quantum ESPRESSO input:
```
&SYSTEM
  ibrav = 0, nat = 4, ntyp = 4
/
ATOMIC_SPECIES
La 138.91 La.upf
Pm 145.00 Pm.upf
Te 127.60 Te.upf
Pt 195.08 Pt.upf
CELL_PARAMETERS angstrom
2.1482 1.2403 7.6530
-2.1482 1.2403 7.6530
0.0000 -2.4805 7.6530
ATOMIC_POSITIONS angstrom
La 0.0000 0.0000 0.0000
Pm 0.0000 0.0000 18.5240
Te 0.0000 0.0000 13.0444
Pt 0.0000 0.0000 9.2928
```

Summary:
The calculation puts the energy at -24.07 eV/cell. The total moment is 0.0 Bohr magnetons per cell. Its space group is R3m, No. 160.

---

[6]
Entry from Alexandria via LeMat-Bulk: an optimized crystal structure of Na2BHO3 (PBE). Values from VASP.

Cell and atoms, written as Quantum ESPRESSO input:
```
&SYSTEM
  ibrav = 0, nat = 28, ntyp = 4
/
ATOMIC_SPECIES
Na 22.99 Na.upf
B 10.81 B.upf
H 1.01 H.upf
O 16.00 O.upf
CELL_PARAMETERS angstrom
8.6696 0.0000 0.0000
0.0000 3.5477 0.0000
0.0000 0.0000 9.9617
ATOMIC_POSITIONS angstrom
Na 0.6318 0.8869 1.0324
Na 1.4971 0.8869 4.4454
Na 2.8377 2.6608 9.4263
Na 3.7030 2.6608 6.0133
Na 4.9665 0.8869 3.9484
Na 5.8319 0.8869 0.5354
Na 7.1725 2.6608 5.5163
Na 8.0378 2.6608 8.9293
B 1.1724 0.8869 7.3891
B 3.1624 2.6608 2.4083
B 5.5072 0.8869 7.5534
B 7.4972 2.6608 2.5726
H 0.8704 2.6608 2.6814
H 3.4644 0.8869 7.6622
H 5.2052 2.6608 2.2995
H 7.7991 0.8869 7.2803
O 0.0572 2.6608 3.3393
O 1.1080 0.8869 8.7542
O 2.0067 2.6608 1.6751
O 2.3281 0.8869 6.6560
O 3.2267 2.6608 3.7733
O 4.2776 0.8869 8.3201
O 4.3920 2.6608 1.6416
O 5.4428 0.8869 6.1884
O 6.3415 2.6608 3.3057
O 6.6629 0.8869 8.2866
O 7.5615 2.6608 1.2075
O 8.6124 0.8869 6.6224
```

Summary:
The calculation puts the energy at -163.27 eV/cell. The total moment is 0.0 Bohr magnetons per cell. Its space group is Pnma, No. 62.

---

[7]
Entry from Alexandria via LeMat-Bulk: an optimized crystal structure of KBaHg (PBE). Values from VASP.

Cell and atoms, written as Quantum ESPRESSO input:
```
&SYSTEM
  ibrav = 0, nat = 3, ntyp = 3
/
ATOMIC_SPECIES
K 39.10 K.upf
Ba 137.33 Ba.upf
Hg 200.59 Hg.upf
CELL_PARAMETERS angstrom
-2.1392 2.1392 7.7153
2.1392 -2.1392 7.7153
2.1392 2.1392 -7.7153
ATOMIC_POSITIONS angstrom
K 0.0000 0.0000 0.0000
Ba 0.0000 0.0000 4.0520
Hg 0.0000 0.0000 9.9970
```

Summary:
Its energy relative to the lowest polymorph listed for this composition is 63 meV/atom. The calculation puts the energy at -4.03 eV/cell. The total moment is 0.0 Bohr magnetons per cell. Its space group is I4mm, No. 107.

---

[8]
Entry from Alexandria via LeMat-Bulk: an optimized crystal structure of Cr2Ni2Pt (PBE). Values from VASP.

Cell and atoms, written as Quantum ESPRESSO input:
```
&SYSTEM
  ibrav = 0, nat = 5, ntyp = 3
/
ATOMIC_SPECIES
Cr 52.00 Cr.upf
Ni 58.69 Ni.upf
Pt 195.08 Pt.upf
CELL_PARAMETERS angstrom
-1.7733 1.7733 5.1738
1.7733 -1.7733 5.1738
1.7733 1.7733 -5.1738
ATOMIC_POSITIONS angstrom
Cr 0.0000 0.0000 0.9660
Cr 0.0000 0.0000 9.3816
Ni 1.7733 0.0000 2.5869
Ni 0.0000 1.7733 2.5869
Pt 0.0000 0.0000 5.1738
```

Summary:
Its energy relative to the lowest polymorph listed for this composition is 265 meV/atom. The calculation puts the energy at -35.57 eV/cell. The total moment is 0.0 Bohr magnetons per cell. Its space group is I4/mmm, No. 139.